Here is a relaxed InFeNO2 crystal from the Alexandria database. Energies are from GGA+U.

Structure (POSCAR):
```
InFeNO2
1.0
4.1867 0.0000 0.0000
0.0000 4.1867 0.0000
0.0000 0.0000 4.1646
In Fe N O
1 1 1 2
direct
0.0000 0.0000 0.0000
0.5000 0.5000 0.5000
0.0000 0.0000 0.5000
0.0000 0.5000 0.0000
0.5000 0.0000 0.0000
```

## Properties
The density of states at the Fermi level comes out at 0.332 states/eV/atom. For the spin magnetization, the calculation gives 5.92 μB per cell. The density is 4.929 g/cm³. The raw total energy is -4.911 eV/atom. The space group is No. 123.